PBE-GGA KNaCl2F8, relaxed; spin magnetization = 4.0 μB/f.u.
1.0
5.159 0.000 0.000
-2.580 4.468 0.000
0.000 0.000 9.119
K Na Cl F
1 1 2 8
Cartesian
0.000 0.000 0.000
0.000 0.000 4.560
0.000 2.979 7.262
2.580 1.489 1.857
-0.729 1.638 6.070
-0.796 4.280 6.070
0.000 2.979 0.098
1.054 1.451 3.050
1.525 3.017 6.070
2.580 1.489 9.021
3.376 0.188 3.050
3.309 2.830 3.050

---

PBE-GGA KNaClF6, relaxed; spin magnetization = 1.0 μB/f.u.
1.0
5.978 0.000 0.000
-2.989 5.177 0.000
0.000 0.000 5.002
K Na Cl F
1 1 1 6
Cartesian
0.000 0.000 0.000
0.000 3.451 2.501
2.989 1.726 2.501
2.161 0.226 3.456
1.276 1.759 1.546
3.817 0.226 1.546
2.104 3.192 3.456
4.701 1.759 3.456
3.874 3.192 1.546

---

PBE-GGA K2NbCl4F2, relaxed; spin magnetization = 1.0 μB/f.u.
1.0
5.571 -3.641 0.000
5.571 3.641 0.000
-1.011 0.000 5.484
K Nb Cl F
2 1 4 2
Cartesian
1.567 0.000 1.711
8.565 0.000 3.773
5.571 0.000 0.000
4.262 1.787 1.096
5.870 1.787 4.388
4.262 -1.787 1.096
5.870 -1.787 4.388
3.290 0.000 4.005
6.841 0.000 1.479

---

PBE-GGA K2NbCl2F4, relaxed; spin magnetization = 1.0 μB/f.u.
1.0
6.111 -3.072 0.000
6.111 3.072 0.000
-0.358 0.000 5.117
K Nb Cl F
2 1 2 4
Cartesian
1.636 0.000 0.761
10.229 0.000 4.356
5.932 0.000 2.558
3.601 0.000 3.433
8.264 0.000 1.683
5.450 1.488 1.319
6.415 1.488 3.798
5.450 -1.488 1.319
6.415 -1.488 3.798

---

PBE-GGA K3NbCl2F6, relaxed; spin magnetization = 0.0 μB/f.u.
1.0
4.769 0.000 0.000
-0.010 7.711 0.000
-0.321 -3.855 7.805
K Nb Cl F
3 1 2 6
Cartesian
0.000 0.000 0.000
-0.005 3.856 0.000
2.224 -1.928 3.902
-0.165 1.928 3.902
2.281 5.783 0.867
2.158 -1.928 6.938
0.675 1.934 2.147
0.994 0.509 4.536
1.011 3.324 4.554
3.427 0.532 3.251
3.445 3.347 3.268
3.764 1.922 5.658

---

How do the records compare in formation energy from raw total energies? In the order shown, they have -0.9788; -1.4587; -2.0713; -2.5124; -2.6729 eV/atom.
How do the records compare in final energy? In the order shown, they have -2.735; -3.180; -4.671; -5.117; -5.030 eV per atom.